Record 1
VASP calculation (PBE-GGA) on NdY6Tm3Th2 after structural relaxation.

Computed properties:
* E_tot: -5.946 eV/atom
* magnetization: 0.00 μB per formula unit
* ΔE_f: 38 meV/atom
* ρ: 7.12 Mg/m³

Lattice parameters (Å, degrees): 6.1924 10.7139 11.7671 90.00 100.13 90.00
Last column: nearest neighbours and their distance in Å.
Space group C2/m (No. 12)
Asymmetric unit:
Nd  0.0000  0.0000  0.0000  6 Th 3.57, 6 Y 3.57
Y  0.2468  0.3312  0.7499  3 Tm 3.54-3.57, 2 Th 3.55, 6 Y 3.55-3.62, 1 Nd 3.57
Y  0.2467  0.5000  0.2502  3 Tm 3.54-3.56, 6 Y 3.55-3.62, 2 Th 3.55, 1 Nd 3.57
Tm  0.0000  0.1665  0.5000  6 Y 3.54-3.57, 6 Tm 3.57-3.58
Tm  0.0000  0.5000  0.5000  6 Y 3.54-3.56, 6 Tm 3.57
Th  0.0000  0.3332  0.0000  6 Y 3.55, 3 Nd 3.57, 3 Th 3.57

***

Record 2
VASP calculation (PBE-GGA) on Nd2YTm5Th after structural relaxation.

Computed properties:
* E_tot: -4.795 eV/atom
* magnetization: 0.00 μB per formula unit
* ΔE_f: 292 meV/atom
* ρ: 8.40 Mg/m³

Lattice parameters (Å, degrees): 8.6784 8.6784 15.2646 90.00 90.00 90.00
Last column: nearest neighbours and their distance in Å.
Space group I4/mcm (No. 140)
Asymmetric unit:
Nd  0.1160  0.3840  0.0000  1 Nd 2.85, 2 Tm 2.98
Y  0.0000  0.5000  0.2500  4 Tm 3.12
Tm  0.0000  0.0000  0.0000  4 Nd 3.48, 8 Tm 3.76, 2 Th 3.82
Tm  0.2138  0.2862  0.3606  1 Nd 2.98, 1 Y 3.12
Th  0.0000  0.0000  0.2500  10 Tm 3.53-3.82

***

Record 3
VASP calculation (PBE-GGA) on Nd3Y6Tm2Th after structural relaxation.

Computed properties:
* E_tot: -5.768 eV/atom
* magnetization: 0.00 μB per formula unit
* ΔE_f: 20 meV/atom
* ρ: 6.52 Mg/m³

Lattice parameters (Å, degrees): 6.2148 10.7629 11.8724 90.00 100.07 90.00
Last column: nearest neighbours and their distance in Å.
Space group C2/m (No. 12)
Asymmetric unit:
Nd  0.0000  0.0000  0.0000  6 Nd 3.58-3.59, 6 Y 3.62-3.64
Nd  0.0000  0.3330  0.0000  6 Nd 3.58-3.60, 6 Y 3.62-3.63
Y  0.2477  0.3348  0.7456  1 Th 3.53, 2 Tm 3.54-3.55, 6 Y 3.56-3.60, 3 Nd 3.62-3.63
Y  0.2480  0.5000  0.2545  1 Th 3.53, 2 Tm 3.55, 6 Y 3.56-3.60, 3 Nd 3.62-3.64
Tm  0.0000  0.1668  0.5000  6 Y 3.54-3.55, 3 Th 3.59, 3 Tm 3.59
Th  0.0000  0.5000  0.5000  6 Y 3.53, 6 Tm 3.59

***

Record 4
VASP calculation (PBE-GGA) on NdY5Tm2Th after structural relaxation.

Computed properties:
* E_tot: -5.775 eV/atom
* magnetization: 0.00 μB per formula unit
* ΔE_f: 164 meV/atom
* ρ: 6.46 Mg/m³

Lattice parameters (Å, degrees): 5.7470 21.2650 9.7533 90.00 90.00 90.00
Last column: nearest neighbours and their distance in Å.
Space group Cmc2_1 (No. 36)
Asymmetric unit:
Nd  0.0000  0.0961  0.0000  2 Y 3.04-3.18
Y  0.0000  0.0281  0.3193  2 Nd 3.18-3.43, 1 Y 3.37, 2 Tm 3.47
Y  0.0000  0.1115  0.6128  4 Tm 3.36-3.55, 3 Y 3.37-3.64
Y  0.0000  0.1961  0.2883  2 Th 3.41, 5 Y 3.46-3.75, 1 Nd 3.52, 3 Tm 3.55-3.69
Y  0.0000  0.2335  0.9130  1 Nd 3.04, 1 Tm 3.28
Y  0.0000  0.4866  0.5920  2 Tm 3.27-3.60, 2 Nd 3.49, 2 Y 3.64
Tm  0.0000  0.3694  0.2869  1 Th 3.31, 4 Y 3.36-3.69, 2 Nd 3.62
Tm  0.0000  0.3878  0.8991  8 Y 3.27-3.55, 1 Th 3.34
Th  0.0000  0.3104  0.6008  2 Tm 3.31-3.34, 5 Y 3.41-3.53, 2 Nd 3.63

***

Record 5
VASP calculation (PBE-GGA) on Nd2Y6Tm3Th after structural relaxation.

Computed properties:
* E_tot: -5.727 eV/atom
* magnetization: 0.00 μB per formula unit
* ΔE_f: 36 meV/atom
* ρ: 6.70 Mg/m³

Lattice parameters (Å, degrees): 6.2027 10.7305 11.8097 90.00 100.06 90.00
Last column: nearest neighbours and their distance in Å.
Space group C2/m (No. 12)
Asymmetric unit:
Nd  0.0000  0.1665  0.0000  3 Nd 3.57-3.58, 3 Th 3.58, 6 Y 3.59-3.60
Y  0.2446  0.5000  0.7473  3 Tm 3.54-3.56, 6 Y 3.54-3.60, 1 Th 3.58, 2 Nd 3.60
Y  0.2500  0.1649  0.7475  3 Tm 3.54-3.55, 6 Y 3.54-3.60, 1 Th 3.58, 2 Nd 3.59-3.60
Tm  0.0000  0.0000  0.5000  6 Y 3.54-3.56, 6 Tm 3.57-3.58
Tm  0.0000  0.3330  0.5000  6 Y 3.54-3.55, 6 Tm 3.57-3.58
Th  0.0000  0.5000  0.0000  6 Y 3.58, 6 Nd 3.58

***

Record 6
VASP calculation (PBE-GGA) on Nd2YTmTh after structural relaxation.

Computed properties:
* E_tot: -5.263 eV/atom
* magnetization: 0.00 μB per formula unit
* ΔE_f: 315 meV/atom
* ρ: 7.44 Mg/m³

Lattice parameters (Å, degrees): 8.5483 6.3514 6.4022 90.00 91.20 90.00
Last column: nearest neighbours and their distance in Å.
Space group P2/c (No. 13)
Asymmetric unit:
Nd  0.1886  0.2089  0.2564  1 Th 3.13, 1 Nd 3.22, 1 Tm 3.44
Y  0.5000  0.5000  0.0000  2 Y 3.20, 2 Th 3.27, 2 Nd 3.57
Tm  0.0000  0.3118  0.7500  8 Nd 3.44-3.68
Th  0.5000  0.0509  0.7500  2 Nd 3.13, 2 Th 3.27, 2 Y 3.27

***

Record 7
VASP calculation (PBE-GGA) on NdY2Tm5Th after structural relaxation.

Computed properties:
* E_tot: -4.953 eV/atom
* magnetization: 0.00 μB per formula unit
* ΔE_f: 321 meV/atom
* ρ: 8.16 Mg/m³

Lattice parameters (Å, degrees): 8.7040 8.7040 15.0377 90.00 90.00 90.00
Last column: nearest neighbours and their distance in Å.
Space group I4/mcm (No. 140)
Asymmetric unit:
Nd  0.0000  0.5000  0.2500  4 Tm 3.08
Y  0.1155  0.3845  0.0000  1 Y 2.84, 2 Tm 2.99
Tm  0.0000  0.0000  0.0000  4 Y 3.49, 8 Tm 3.74, 2 Th 3.76
Tm  0.2091  0.2909  0.3628  1 Y 2.99, 1 Nd 3.08
Th  0.0000  0.0000  0.2500  10 Tm 3.55-3.76

***

Record 8
VASP calculation (PBE-GGA) on NdY3TmTh after structural relaxation.

Computed properties:
* E_tot: -5.980 eV/atom
* magnetization: 0.00 μB per formula unit
* ΔE_f: 29 meV/atom
* ρ: 6.91 Mg/m³

Lattice parameters (Å, degrees): 8.0042 5.0810 10.1323 90.00 108.82 90.00
Last column: nearest neighbours and their distance in Å.
Space group P2_1/m (No. 11)
Asymmetric unit:
Nd  0.1716  0.2500  0.2930  3 Tm 3.56, 1 Th 3.59, 8 Y 3.59-3.66
Y  0.1714  0.7500  0.5436  1 Th 3.55, 3 Tm 3.55-3.59, 5 Y 3.58-3.64, 3 Nd 3.59-3.63
Y  0.1757  0.7500  0.0437  1 Tm 3.50, 3 Th 3.51-3.54, 3 Nd 3.59-3.64, 5 Y 3.59-3.70
Y  0.1766  0.2500  0.7932  3 Th 3.50-3.53, 1 Tm 3.51, 6 Y 3.58-3.70, 2 Nd 3.66
Tm  0.4994  0.2500  0.6276  5 Y 3.50-3.59, 3 Nd 3.56, 2 Th 3.59, 2 Tm 3.63
Th  0.4993  0.7500  0.8778  7 Y 3.50-3.55, 2 Th 3.55, 1 Nd 3.59, 2 Tm 3.59

***

- The highest ΔE_f belongs to which entry?
  NdY2Tm5Th

***

- What is the formula in the sixth record?
  Nd2YTmTh

***

- What is the formula in the second record?
  Nd2YTm5Th